Mg14MnSi: optimized geometry, GGA-PBE.

```
data_Mg14MnSi
_chemical_formula_sum 'Mg28 Mn2 Si2'
_cell_length_a 10.090
_cell_length_b 6.188
_cell_length_c 10.935
_cell_angle_alpha 90.00
_cell_angle_beta 90.00
_cell_angle_gamma 90.00
_space_group_name_H-M_alt 'A m m 2'
_space_group_IT_number 38
loop_
_space_group_symop_operation_xyz
'x,y,z'
'-x,-y,z'
'-x,y,z'
'x,-y,z'
'x,y+1/2,z+1/2'
'-x,-y+1/2,z+1/2'
'-x,y+1/2,z+1/2'
'x,-y+1/2,z+1/2'
loop_
_atom_site_label
_atom_site_type_symbol
_atom_site_fract_x
_atom_site_fract_y
_atom_site_fract_z
_atom_site_occupancy
Mg1 Mg 0.000 0.000 0.000 1
Mg2 Mg 0.000 0.000 0.499 1
Mg3 Mg 0.000 0.250 0.252 1
Mg4 Mg 0.254 0.000 0.663 1
Mg5 Mg 0.255 0.000 0.164 1
Mg6 Mg 0.267 0.249 0.418 1
Mg7 Mg 0.500 0.249 0.744 1
Mn1 Mn 0.500 0.000 0.503 1
Si1 Si 0.500 0.000 0.005 1
```

Results
ΔE to the lowest computed polymorph ... 0 meV/atom
VASP energy ... -2.244 eV per atom
Uncorrected formation energy ... 1.0 eV/f.u.
Total moment ... 3.58 μB per formula unit